1.
This record from the Alexandria database describes an optimized crystal structure of BaNaPb2. The functional is PBE-GGA.

```
data_BaNaPb2
_space_group_name_H-M_alt 'P 1'
_space_group_IT_number 1
_cell_length_a 5.1320
_cell_length_b 5.1320
_cell_length_c 5.1792
_cell_angle_alpha 90.00
_cell_angle_beta 90.00
_cell_angle_gamma 90.00
loop_
_space_group_symop_operation_xyz
'x,y,z'
loop_
_atom_site_label
_atom_site_type_symbol
_atom_site_fract_x
_atom_site_fract_y
_atom_site_fract_z
Ba1 Ba 0.0000 0.0000 0.0000
Na1 Na 0.5000 0.5000 0.0000
Pb1 Pb 0.0000 0.5000 0.5000
Pb2 Pb 0.5000 0.0000 0.5000
```

Magnetization, μB/atom: 0.00
Total DFT energy (no corrections), eV/atom: -2.97

***

2.
This record from the Alexandria database describes an optimized crystal structure of Ce2ZnGe4Ir3. The functional is PBE-GGA.

```
data_Ce2ZnGe4Ir3
_space_group_name_H-M_alt 'P 1'
_space_group_IT_number 1
_cell_length_a 4.2656
_cell_length_b 4.2656
_cell_length_c 10.2359
_cell_angle_alpha 90.00
_cell_angle_beta 90.00
_cell_angle_gamma 90.00
loop_
_space_group_symop_operation_xyz
'x,y,z'
loop_
_atom_site_label
_atom_site_type_symbol
_atom_site_fract_x
_atom_site_fract_y
_atom_site_fract_z
Ce1 Ce 0.0000 0.5000 0.2458
Ce2 Ce 0.5000 0.0000 0.7542
Zn1 Zn 0.0000 0.0000 0.5000
Ge1 Ge 0.0000 0.0000 0.0000
Ge2 Ge 0.0000 0.5000 0.6366
Ge3 Ge 0.5000 0.0000 0.3634
Ge4 Ge 0.5000 0.5000 0.0000
Ir1 Ir 0.0000 0.5000 0.8742
Ir2 Ir 0.5000 0.0000 0.1258
Ir3 Ir 0.5000 0.5000 0.5000
```

Magnetization, μB/atom: 0.00
Total DFT energy (no corrections), eV/atom: -6.49

***

3.
This record from the Alexandria database describes an optimized crystal structure of Pr2UTl3S6. The functional is PBE-GGA.

```
data_Pr2UTl3S6
_space_group_name_H-M_alt 'P 1'
_space_group_IT_number 1
_cell_length_a 7.2053
_cell_length_b 7.2053
_cell_length_c 7.8928
_cell_angle_alpha 98.76
_cell_angle_beta 98.76
_cell_angle_gamma 119.95
loop_
_space_group_symop_operation_xyz
'x,y,z'
loop_
_atom_site_label
_atom_site_type_symbol
_atom_site_fract_x
_atom_site_fract_y
_atom_site_fract_z
Pr1 Pr 0.1666 0.8334 0.0000
Pr2 Pr 0.8334 0.1666 0.0000
U1 U 0.5000 0.5000 0.0000
Tl1 Tl 0.0000 0.0000 0.5000
Tl2 Tl 0.3318 0.6682 0.5000
Tl3 Tl 0.6682 0.3318 0.5000
S1 S 0.1118 0.4327 0.7984
S2 S 0.2473 0.2473 0.2042
S3 S 0.4327 0.1118 0.7984
S4 S 0.5673 0.8882 0.2016
S5 S 0.7527 0.7527 0.7958
S6 S 0.8882 0.5673 0.2016
```

Energy relative to the elements, uncorrected, eV/atom: -1.283
Magnetization, μB/atom: 0.25

***

4.
This record from the Alexandria database describes an optimized crystal structure of Pm2TlOsO8. The functional is PBE-GGA.

```
data_Pm2TlOsO8
_space_group_name_H-M_alt 'P 1'
_space_group_IT_number 1
_cell_length_a 4.8385
_cell_length_b 4.8631
_cell_length_c 7.4053
_cell_angle_alpha 91.81
_cell_angle_beta 91.81
_cell_angle_gamma 93.77
loop_
_space_group_symop_operation_xyz
'x,y,z'
loop_
_atom_site_label
_atom_site_type_symbol
_atom_site_fract_x
_atom_site_fract_y
_atom_site_fract_z
Pm1 Pm 0.0535 0.0512 0.2569
Pm2 Pm 0.9465 0.9488 0.7431
Tl1 Tl 0.5000 0.5000 0.0000
Os1 Os 0.5000 0.5000 0.5000
O1 O 0.1948 0.1960 0.9770
O2 O 0.2225 0.2286 0.5424
O3 O 0.2734 0.6376 0.3076
O4 O 0.3643 0.7313 0.6907
O5 O 0.6357 0.2687 0.3093
O6 O 0.7266 0.3624 0.6924
O7 O 0.7775 0.7714 0.4576
O8 O 0.8052 0.8040 0.0230
```

Energy relative to the elements, uncorrected, eV/atom: -1.891
Magnetization, μB/atom: 0.09

***

5.
This record from the Alexandria database describes an optimized crystal structure of BaMgPt2. The functional is PBE-GGA.

```
data_BaMgPt2
_space_group_name_H-M_alt 'P 1'
_space_group_IT_number 1
_cell_length_a 5.7207
_cell_length_b 5.7207
_cell_length_c 5.7207
_cell_angle_alpha 135.90
_cell_angle_beta 135.90
_cell_angle_gamma 64.14
loop_
_space_group_symop_operation_xyz
'x,y,z'
loop_
_atom_site_label
_atom_site_type_symbol
_atom_site_fract_x
_atom_site_fract_y
_atom_site_fract_z
Ba1 Ba 0.0000 0.0000 0.0000
Mg1 Mg 0.2500 0.7500 0.5000
Pt1 Pt 0.5000 0.5000 0.0000
Pt2 Pt 0.7500 0.2500 0.5000
```

Magnetization, μB/atom: 0.00
Total DFT energy (no corrections), eV/atom: -4.19

***

6.
This record from the Alexandria database describes an optimized crystal structure of ZnTcPb3. The functional is PBE-GGA.

```
data_ZnTcPb3
_space_group_name_H-M_alt 'P 1'
_space_group_IT_number 1
_cell_length_a 5.3370
_cell_length_b 5.3370
_cell_length_c 5.3370
_cell_angle_alpha 90.00
_cell_angle_beta 90.00
_cell_angle_gamma 90.00
loop_
_space_group_symop_operation_xyz
'x,y,z'
loop_
_atom_site_label
_atom_site_type_symbol
_atom_site_fract_x
_atom_site_fract_y
_atom_site_fract_z
Zn1 Zn 0.0000 0.0000 0.0000
Tc1 Tc 0.5000 0.5000 0.5000
Pb1 Pb 0.0000 0.5000 0.5000
Pb2 Pb 0.5000 0.0000 0.5000
Pb3 Pb 0.5000 0.5000 0.0000
```

Magnetization, μB/atom: 0.00
Total DFT energy (no corrections), eV/atom: -4.11

***

no.,density of states at the Fermi level (states/eV/cell)
1,3.165
2,8.677
3,9.684
4,2.574
5,0.653
6,6.097